Rb5AgHg2 | Alexandria via LeMat-Bulk | PBE | relaxed; energy relative to the elements = -104 meV per atom; calculated density = 3.87 Mg/m³; SG = I4/mcm (140)
1.0
8.576 0.000 -4.048
-1.911 8.361 -4.048
0.034 0.042 11.179
Rb Ag Hg
10 2 4
direct
0.532 0.676 0.708 Rb
0.824 0.968 0.292 Rb
0.000 0.000 0.000 Rb
0.500 0.500 0.000 Rb
0.176 0.032 0.708 Rb
0.676 0.176 0.708 Rb
0.032 0.532 0.708 Rb
0.324 0.824 0.292 Rb
0.968 0.468 0.292 Rb
0.468 0.324 0.292 Rb
0.750 0.750 0.500 Ag
0.250 0.250 0.500 Ag
0.111 0.389 0.000 Hg
0.611 0.111 0.000 Hg
0.389 0.889 0.000 Hg
0.889 0.611 0.000 Hg